[1]
AcTiTl2O6 | PBE-GGA | relaxed

Results
As for the crystal system: trigonal. As for the density of states at the Fermi level: 0.294 states/eV/atom. The calculation puts the total energy at -6.5991 eV per atom.

```
AcTiTl2O6
1.0
5.826 -0.001 0.000
2.913 5.046 0.001
2.913 1.683 5.239
O Ac Tl Ti
6 1 2 1
Direct
0.194 0.000 0.233 O
0.000 0.572 0.233 O
0.143 0.389 0.786 O
0.572 0.194 0.233 O
0.389 0.682 0.786 O
0.682 0.143 0.786 O
0.804 0.804 0.589 Ac
0.024 0.024 0.929 Tl
0.538 0.538 0.385 Tl
0.316 0.315 0.054 Ti
```

***

[2]
Ac3TiTl3O8 | PBE-GGA | relaxed

Results
As for the crystal system: trigonal. As for the density of states at the Fermi level: 0.000 states/eV/atom. The calculation puts the total energy at -6.7632 eV per atom.

```
Ac3TiTl3O8
1.0
-0.523 -7.052 -2.061
4.300 1.868 5.680
-7.699 0.290 0.961
O Tl Ac Ti
8 3 3 1
Direct
0.271 0.542 0.313 O
0.729 0.458 0.687 O
0.194 0.970 0.664 O
0.806 0.612 0.336 O
0.224 0.030 0.336 O
0.194 0.388 0.664 O
0.776 0.970 0.664 O
0.806 0.030 0.336 O
0.000 0.500 0.000 Tl
0.500 0.500 0.000 Tl
0.000 0.000 0.000 Tl
0.000 0.500 0.500 Ac
0.500 0.500 0.500 Ac
0.500 0.000 0.500 Ac
0.000 0.000 0.500 Ti
```

***

[3]
Ac2TiTl2O6 | PBE-GGA | relaxed

Results
As for the crystal system: monoclinic. As for the density of states at the Fermi level: 0.000 states/eV/atom. The calculation puts the total energy at -6.9786 eV per atom.

```
Ac2TiTl2O6
1.0
-4.887 -3.383 -1.754
3.506 -2.068 4.673
-3.334 4.566 3.419
O Tl Ac Ti
6 2 2 1
Direct
0.326 0.045 0.656 O
0.045 0.326 0.656 O
0.955 0.674 0.344 O
0.787 0.787 0.692 O
0.213 0.213 0.308 O
0.674 0.955 0.344 O
0.845 0.155 0.000 Tl
0.155 0.845 0.000 Tl
0.665 0.335 0.500 Ac
0.335 0.665 0.500 Ac
0.000 0.000 0.500 Ti
```

***

[4]
AcTi2Tl2O7 | PBE-GGA | relaxed

Results
As for the crystal system: monoclinic. As for the density of states at the Fermi level: 0.189 states/eV/atom. The calculation puts the total energy at -7.3586 eV per atom.

```
AcTi2Tl2O7
1.0
3.932 0.018 -0.121
0.023 3.932 -0.121
1.584 1.582 10.963
O Ti Ac Tl
7 2 1 2
Direct
0.500 0.500 0.000 O
0.050 0.547 0.828 O
0.604 0.604 0.637 O
0.396 0.396 0.363 O
0.547 0.050 0.828 O
0.453 0.950 0.172 O
0.950 0.453 0.172 O
0.424 0.424 0.191 Ti
0.576 0.576 0.809 Ti
0.000 0.000 0.000 Ac
0.823 0.823 0.389 Tl
0.177 0.177 0.611 Tl
```

***

[5]
Ac3TiTl4O8 | PBE-GGA | relaxed

Results
As for the crystal system: monoclinic. As for the density of states at the Fermi level: 0.217 states/eV/atom. The calculation puts the total energy at -6.4339 eV per atom.

```
Ac3TiTl4O8
1.0
7.376 0.000 0.000
0.000 8.130 0.345
-3.688 -3.810 5.072
O Tl Ac Ti
8 4 3 1
Direct
0.799 0.337 0.599 O
0.194 0.657 0.976 O
0.806 0.343 0.024 O
0.218 0.343 0.024 O
0.201 0.663 0.401 O
0.782 0.657 0.976 O
0.268 0.317 0.536 O
0.732 0.683 0.464 O
0.500 0.000 0.500 Tl
0.000 0.000 0.000 Tl
0.000 0.000 0.500 Tl
0.500 0.000 0.000 Tl
0.500 0.500 0.500 Ac
0.500 0.500 0.000 Ac
0.000 0.500 0.500 Ac
0.000 0.500 0.000 Ti
```

***

[6]
Ac2TmTiO6 | PBE-GGA | relaxed

Results
As for the crystal system: monoclinic. As for the density of states at the Fermi level: 0.241 states/eV/atom. The calculation puts the total energy at -8.3420 eV per atom.

```
Ac2TmTiO6
1.0
5.883 0.000 -0.045
0.000 5.922 0.000
-0.014 0.000 8.303
Ac O Tm Ti
4 12 2 2
Direct
0.991 0.046 0.753 Ac
0.009 0.954 0.247 Ac
0.491 0.454 0.253 Ac
0.509 0.546 0.747 Ac
0.716 0.301 0.956 O
0.200 0.215 0.049 O
0.216 0.199 0.456 O
0.784 0.801 0.544 O
0.087 0.480 0.760 O
0.587 0.020 0.260 O
0.800 0.785 0.951 O
0.284 0.699 0.044 O
0.300 0.715 0.451 O
0.413 0.980 0.740 O
0.913 0.520 0.240 O
0.700 0.285 0.549 O
0.500 0.000 0.000 Tm
0.000 0.500 0.500 Tm
0.500 0.000 0.500 Ti
0.000 0.500 0.000 Ti
```

***

[7]
Ac2UTi3O12 | PBE-GGA | relaxed

Results
As for the crystal system: trigonal. The calculation puts the total energy at -8.6504 eV per atom.

```
Ac2UTi3O12
1.0
6.745 -0.184 -0.131
3.171 5.956 -0.131
3.171 1.846 5.665
O Ti U Ac
12 3 1 2
Direct
0.726 0.118 0.726 O
0.399 0.863 0.863 O
0.863 0.399 0.863 O
0.137 0.601 0.137 O
0.118 0.726 0.726 O
0.274 0.274 0.882 O
0.726 0.726 0.118 O
0.274 0.882 0.274 O
0.601 0.137 0.137 O
0.882 0.274 0.274 O
0.137 0.137 0.601 O
0.863 0.863 0.399 O
0.000 0.500 0.000 Ti
0.500 0.000 0.000 Ti
0.000 0.000 0.500 Ti
0.000 0.000 0.000 U
0.616 0.616 0.616 Ac
0.384 0.384 0.384 Ac
```

***

[8]
Ac2UTiO8 | PBE-GGA | relaxed

Results
As for the crystal system: triclinic. As for the density of states at the Fermi level: 0.000 states/eV/atom. The calculation puts the total energy at -8.7034 eV per atom.

```
Ac2UTiO8
1.0
-1.667 -2.150 3.134
1.064 -4.363 -3.398
7.452 -1.562 2.551
O Ac U Ti
8 2 1 1
Direct
0.062 0.735 0.686 O
0.575 0.785 0.478 O
0.040 0.822 0.223 O
0.425 0.215 0.522 O
0.626 0.775 0.967 O
0.374 0.225 0.033 O
0.960 0.178 0.777 O
0.938 0.265 0.314 O
0.487 0.531 0.241 Ac
0.513 0.469 0.759 Ac
0.000 0.000 0.500 U
0.000 0.000 0.000 Ti
```

***

Number 1: E_form (uncorrected) -1882 kJ/mol of formula units, size of the total moment 0.00 μB/f.u.. Number 2: E_form (uncorrected) -3325 kJ/mol of formula units, size of the total moment 0.00 μB/f.u.. Number 3: E_form (uncorrected) -2525 kJ/mol of formula units, size of the total moment 0.00 μB/f.u.. Number 4: E_form (uncorrected) -2795 kJ/mol of formula units, size of the total moment 0.00 μB/f.u.. Number 5: E_form (uncorrected) -3241 kJ/mol of formula units, size of the total moment 0.00 μB/f.u.. Number 6: E_form (uncorrected) -3192 kJ/mol of formula units, size of the total moment 1.00 μB/f.u.. Number 7: E_form (uncorrected) -5116 kJ/mol of formula units, size of the total moment 0.00 μB/f.u.. Number 8: E_form (uncorrected) -3606 kJ/mol of formula units, size of the total moment 0.00 μB/f.u..